--- P ---
Below is a geometry-optimized BeAg2Br structure, with properties calculated at the PBE level.

## Properties
theoretical density = 6.46 g cm⁻³

Lattice parameters (Å, degrees): 4.803 4.803 4.803 60.00 60.00 60.00
Fractional positions:
Be  0.000  0.000  0.000
Ag  0.250  0.250  0.250
Ag  0.750  0.750  0.750
Br  0.500  0.500  0.500

--- Q ---
Below is a geometry-optimized BeAg2Br structure, with properties calculated at the PBE level.

## Properties
theoretical density = 6.93 g cm⁻³

Lattice parameters (Å, degrees): 3.266 3.266 6.941 90.00 90.00 99.76
Fractional positions:
Be  0.000  0.000  0.000
Ag  0.500  0.500  0.197
Ag  0.500  0.500  0.803
Br  0.000  0.000  0.500

--- R ---
Below is a geometry-optimized BeAg2Br structure, with properties calculated at the PBE level.

## Properties
theoretical density = 6.54 g cm⁻³

Lattice parameters (Å, degrees): 4.784 4.784 4.784 60.00 60.00 60.00
Fractional positions:
Be  0.000  0.000  0.000
Ag  0.250  0.250  0.250
Ag  0.500  0.500  0.500
Br  0.750  0.750  0.750

--- S ---
Below is a geometry-optimized BeAg2Br structure, with properties calculated at the PBE level.

## Properties
theoretical density = 6.79 g cm⁻³

Lattice parameters (Å, degrees): 5.047 5.047 3.154 90.11 90.11 112.03
Fractional positions:
Be  0.000  0.000  0.000
Ag  0.000  0.500  0.500
Ag  0.500  0.000  0.500
Br  0.500  0.500  0.000

Q is the most stable structure; the next one sits 232 meV/atom above it.

--- P ---
Below is a geometry-optimized BeAg2Br structure, with properties calculated at the PBE level.

## Properties
theoretical density = 6.60 g cm⁻³

Lattice parameters (Å, degrees): 5.859 5.859 5.859 141.71 141.71 55.27
Fractional positions:
Be  0.000  0.000  0.000
Ag  0.250  0.750  0.500
Ag  0.750  0.250  0.500
Br  0.500  0.500  0.000

--- Q ---
Below is a geometry-optimized BeAg2Br structure, with properties calculated at the PBE level.

## Properties
theoretical density = 6.98 g cm⁻³

Lattice parameters (Å, degrees): 3.253 3.253 6.850 90.00 90.00 90.00
Fractional positions:
Be  0.000  0.000  0.000
Ag  0.500  0.500  0.196
Ag  0.500  0.500  0.804
Br  0.000  0.000  0.500

Q is the most stable structure; the next one sits 285 meV/atom above it.

--- P ---
Below is a geometry-optimized BeAg2Br structure, with properties calculated at the PBE level.

## Properties
theoretical density = 6.67 g cm⁻³

Lattice parameters (Å, degrees): 3.386 3.386 6.621 90.00 90.00 90.00
Fractional positions:
Be  0.000  0.000  0.000
Ag  0.000  0.000  0.638
Ag  0.500  0.500  0.909
Br  0.500  0.500  0.363

--- Q ---
Below is a geometry-optimized BeAg2Br structure, with properties calculated at the PBE level.

## Properties
theoretical density = 5.59 g cm⁻³

Lattice parameters (Å, degrees): 8.467 8.467 8.467 146.82 146.82 47.64
Fractional positions:
Be  0.000  0.000  0.000
Be  0.750  0.250  0.500
Ag  0.030  0.625  0.905
Ag  0.375  0.280  0.405
Ag  0.720  0.125  0.095
Ag  0.875  0.970  0.595
Br  0.250  0.750  0.500
Br  0.500  0.500  0.000

--- R ---
Below is a geometry-optimized BeAg2Br structure, with properties calculated at the PBE level.

## Properties
theoretical density = 6.13 g cm⁻³

Lattice parameters (Å, degrees): 3.199 3.199 9.267 90.00 90.00 119.45
Fractional positions:
Be  0.000  0.000  0.000
Ag  0.000  0.000  0.450
Ag  0.500  0.500  0.197
Br  0.500  0.500  0.838

--- S ---
Below is a geometry-optimized BeAg2Br structure, with properties calculated at the PBE level.

## Properties
theoretical density = 6.07 g cm⁻³

Lattice parameters (Å, degrees): 3.500 3.651 6.706 90.00 103.29 90.00
Fractional positions:
Be  0.000  0.000  0.000
Ag  0.354  0.500  0.172
Ag  0.646  0.500  0.828
Br  0.500  0.000  0.500

R is the most stable structure; the next one sits 73 meV/atom above it.